# Dy2Zn7Pd | Alexandria | PBE-GGA | relaxed
# **Energy of formation from the pure elements**: -368 meV per atom
# **N(E_F)**: 0.566 states/eV/atom
data_Dy2Zn7Pd
_space_group_name_H-M_alt 'P -4 m 2'
_space_group_IT_number 115
_space_group_name_Hall 'P -4 -2'
_cell_length_a 4.051
_cell_length_b 4.051
_cell_length_c 11.081
_cell_angle_alpha 90.00
_cell_angle_beta 90.00
_cell_angle_gamma 90.00
loop_
_atom_site_label
_atom_site_type_symbol
_atom_site_fract_x
_atom_site_fract_y
_atom_site_fract_z
Dy1 Dy 0.000 0.500 0.249
Zn1 Zn 0.000 0.000 0.000
Zn2 Zn 0.000 0.500 0.641
Zn3 Zn 0.000 0.500 0.861
Zn4 Zn 0.500 0.500 0.000
Zn5 Zn 0.500 0.500 0.500
Pd1 Pd 0.000 0.000 0.500

# SiPRu | Alexandria | PBE-GGA | relaxed
# **E_tot**: -6.65 eV/atom
# **N(E_F)**: 0.539 states/eV/atom
data_SiPRu
_space_group_name_H-M_alt 'P 3 m 1'
_space_group_IT_number 156
_space_group_name_Hall 'P 3 -2"'
_cell_length_a 4.0998
_cell_length_b 4.0998
_cell_length_c 2.8365
_cell_angle_alpha 90.00
_cell_angle_beta 90.00
_cell_angle_gamma 120.00
loop_
_atom_site_label
_atom_site_type_symbol
_atom_site_fract_x
_atom_site_fract_y
_atom_site_fract_z
Si1 Si 0.0000 0.0000 0.0000
P1 P 0.6667 0.3333 0.5020
Ru1 Ru 0.3333 0.6667 0.5023